# 1
# KNiS, relaxed, DFT PBE
# VASP energy = -4.36 eV/atom
data_KNiS
_chemical_formula_sum 'K4 Ni4 S4'
_space_group_name_H-M_alt 'P 1'
_space_group_IT_number 1
_cell_length_a 6.219
_cell_length_b 6.219
_cell_length_c 7.311
_cell_angle_alpha 90.00
_cell_angle_beta 90.00
_cell_angle_gamma 71.96
loop_
_space_group_symop_operation_xyz
'x,y,z'
loop_
_atom_site_label
_atom_site_type_symbol
_atom_site_fract_x
_atom_site_fract_y
_atom_site_fract_z
K1 K 0.188 0.188 0.000
K2 K 0.312 0.312 0.500
K3 K 0.688 0.688 0.500
K4 K 0.812 0.812 0.000
Ni1 Ni 0.116 0.884 0.616
Ni2 Ni 0.384 0.616 0.116
Ni3 Ni 0.616 0.384 0.884
Ni4 Ni 0.884 0.116 0.384
S1 S 0.177 0.823 0.324
S2 S 0.323 0.677 0.824
S3 S 0.677 0.323 0.176
S4 S 0.823 0.177 0.676

# 2
# KNiS2, relaxed, DFT PBE
# VASP energy = -4.37 eV/atom
data_KNiS2
_chemical_formula_sum 'K2 Ni2 S4'
_space_group_name_H-M_alt 'P 1'
_space_group_IT_number 1
_cell_length_a 6.189
_cell_length_b 6.189
_cell_length_c 6.189
_cell_angle_alpha 111.57
_cell_angle_beta 111.57
_cell_angle_gamma 105.34
loop_
_space_group_symop_operation_xyz
'x,y,z'
loop_
_atom_site_label
_atom_site_type_symbol
_atom_site_fract_x
_atom_site_fract_y
_atom_site_fract_z
K1 K 0.000 0.000 0.000
K2 K 0.750 0.250 0.500
Ni1 Ni 0.250 0.750 0.500
Ni2 Ni 0.500 0.500 0.000
S1 S 0.248 0.625 0.123
S2 S 0.375 0.498 0.623
S3 S 0.502 0.125 0.877
S4 S 0.875 0.752 0.377

# 3
# KNiSbS3, relaxed, DFT PBE
# VASP energy = -4.45 eV/atom
data_KNiSbS3
_chemical_formula_sum 'K2 Ni2 Sb2 S6'
_space_group_name_H-M_alt 'P 1'
_space_group_IT_number 1
_cell_length_a 9.054
_cell_length_b 3.921
_cell_length_c 9.067
_cell_angle_alpha 90.00
_cell_angle_beta 100.46
_cell_angle_gamma 90.00
loop_
_space_group_symop_operation_xyz
'x,y,z'
loop_
_atom_site_label
_atom_site_type_symbol
_atom_site_fract_x
_atom_site_fract_y
_atom_site_fract_z
K1 K 0.206 0.250 0.152
K2 K 0.794 0.750 0.848
Ni1 Ni 0.422 0.750 0.923
Ni2 Ni 0.578 0.250 0.077
Sb1 Sb 0.152 0.250 0.643
Sb2 Sb 0.848 0.750 0.357
S1 S 0.126 0.750 0.407
S2 S 0.164 0.750 0.848
S3 S 0.492 0.250 0.835
S4 S 0.508 0.750 0.165
S5 S 0.836 0.250 0.152
S6 S 0.874 0.250 0.593

# 4
# KNiSeS2, relaxed, DFT PBE
# VASP energy = -2.09 eV/atom
data_KNiSeS2
_chemical_formula_sum 'K1 Ni1 Se1 S2'
_space_group_name_H-M_alt 'P 1'
_space_group_IT_number 1
_cell_length_a 5.452
_cell_length_b 5.452
_cell_length_c 4.565
_cell_angle_alpha 90.00
_cell_angle_beta 90.00
_cell_angle_gamma 90.00
loop_
_space_group_symop_operation_xyz
'x,y,z'
loop_
_atom_site_label
_atom_site_type_symbol
_atom_site_fract_x
_atom_site_fract_y
_atom_site_fract_z
K1 K 0.000 0.000 0.000
Ni1 Ni 0.000 0.000 0.500
Se1 Se 0.500 0.500 0.500
S1 S 0.000 0.500 0.000
S2 S 0.500 0.000 0.000

# 5
# KNi2SeS, relaxed, DFT PBE
# Excess energy over the best structure of this formula in the dataset = 3.38 eV/f.u.
data_KNi2SeS
_chemical_formula_sum 'K1 Ni2 Se1 S1'
_space_group_name_H-M_alt 'P 1'
_space_group_IT_number 1
_cell_length_a 4.435
_cell_length_b 4.435
_cell_length_c 5.538
_cell_angle_alpha 90.00
_cell_angle_beta 90.00
_cell_angle_gamma 90.00
loop_
_space_group_symop_operation_xyz
'x,y,z'
loop_
_atom_site_label
_atom_site_type_symbol
_atom_site_fract_x
_atom_site_fract_y
_atom_site_fract_z
K1 K 0.000 0.000 0.000
Ni1 Ni 0.000 0.500 0.500
Ni2 Ni 0.500 0.000 0.500
Se1 Se 0.500 0.500 0.500
S1 S 0.500 0.500 0.000

# 6
# KNi2SeS, relaxed, DFT PBE
# Excess energy over the best structure of this formula in the dataset = 0.00 eV/f.u.
data_KNi2SeS
_chemical_formula_sum 'K2 Ni4 Se2 S2'
_space_group_name_H-M_alt 'P 1'
_space_group_IT_number 1
_cell_length_a 7.168
_cell_length_b 3.886
_cell_length_c 7.772
_cell_angle_alpha 90.00
_cell_angle_beta 105.07
_cell_angle_gamma 90.00
loop_
_space_group_symop_operation_xyz
'x,y,z'
loop_
_atom_site_label
_atom_site_type_symbol
_atom_site_fract_x
_atom_site_fract_y
_atom_site_fract_z
K1 K 0.058 0.250 0.254
K2 K 0.942 0.750 0.746
Ni1 Ni 0.487 0.250 0.110
Ni2 Ni 0.494 0.750 0.352
Ni3 Ni 0.506 0.250 0.648
Ni4 Ni 0.513 0.750 0.890
Se1 Se 0.313 0.750 0.574
Se2 Se 0.687 0.250 0.426
S1 S 0.316 0.750 0.075
S2 S 0.684 0.250 0.925

# 7
# KTaNiS4, relaxed, DFT PBE
# VASP energy = -5.79 eV/atom
data_KTaNiS4
_chemical_formula_sum 'K2 Ta2 Ni2 S8'
_space_group_name_H-M_alt 'P 1'
_space_group_IT_number 1
_cell_length_a 5.858
_cell_length_b 6.752
_cell_length_c 8.068
_cell_angle_alpha 90.00
_cell_angle_beta 95.05
_cell_angle_gamma 90.00
loop_
_space_group_symop_operation_xyz
'x,y,z'
loop_
_atom_site_label
_atom_site_type_symbol
_atom_site_fract_x
_atom_site_fract_y
_atom_site_fract_z
K1 K 0.207 0.250 0.051
K2 K 0.793 0.750 0.949
Ta1 Ta 0.177 0.750 0.436
Ta2 Ta 0.823 0.250 0.564
Ni1 Ni 0.346 0.250 0.648
Ni2 Ni 0.654 0.750 0.352
S1 S 0.101 0.501 0.676
S2 S 0.101 0.999 0.676
S3 S 0.333 0.750 0.175
S4 S 0.466 0.250 0.402
S5 S 0.534 0.750 0.598
S6 S 0.667 0.250 0.825
S7 S 0.899 0.001 0.324
S8 S 0.899 0.499 0.324

# 8
# K2TaNiS5, relaxed, DFT PBE
# VASP energy = -5.31 eV/atom
data_K2TaNiS5
_chemical_formula_sum 'K4 Ta2 Ni2 S10'
_space_group_name_H-M_alt 'P 1'
_space_group_IT_number 1
_cell_length_a 3.780
_cell_length_b 13.216
_cell_length_c 9.876
_cell_angle_alpha 90.00
_cell_angle_beta 99.87
_cell_angle_gamma 90.00
loop_
_space_group_symop_operation_xyz
'x,y,z'
loop_
_atom_site_label
_atom_site_type_symbol
_atom_site_fract_x
_atom_site_fract_y
_atom_site_fract_z
K1 K 0.101 0.000 0.243
K2 K 0.132 0.631 0.241
K3 K 0.868 0.131 0.759
K4 K 0.899 0.500 0.757
Ta1 Ta 0.319 0.332 0.439
Ta2 Ta 0.681 0.832 0.561
Ni1 Ni 0.433 0.718 0.811
Ni2 Ni 0.567 0.218 0.189
S1 S 0.066 0.296 0.186
S2 S 0.261 0.957 0.591
S3 S 0.262 0.702 0.585
S4 S 0.348 0.319 0.671
S5 S 0.485 0.119 0.022
S6 S 0.515 0.619 0.978
S7 S 0.652 0.819 0.329
S8 S 0.738 0.202 0.415
S9 S 0.739 0.457 0.409
S10 S 0.934 0.796 0.814

# 9
# K2TaNi2S4, relaxed, DFT PBE
# VASP energy = -5.56 eV/atom
data_K2TaNi2S4
_chemical_formula_sum 'K2 Ta1 Ni2 S4'
_space_group_name_H-M_alt 'P 1'
_space_group_IT_number 1
_cell_length_a 6.916
_cell_length_b 6.916
_cell_length_c 7.563
_cell_angle_alpha 106.72
_cell_angle_beta 106.72
_cell_angle_gamma 30.07
loop_
_space_group_symop_operation_xyz
'x,y,z'
loop_
_atom_site_label
_atom_site_type_symbol
_atom_site_fract_x
_atom_site_fract_y
_atom_site_fract_z
K1 K 0.136 0.136 0.061
K2 K 0.864 0.864 0.939
Ta1 Ta 0.000 0.000 0.500
Ni1 Ni 0.329 0.329 0.514
Ni2 Ni 0.671 0.671 0.486
S1 S 0.196 0.196 0.667
S2 S 0.485 0.485 0.728
S3 S 0.515 0.515 0.272
S4 S 0.804 0.804 0.333

# 10
# K2TaNiS4, relaxed, DFT PBE
# VASP energy = -5.48 eV/atom
data_K2TaNiS4
_chemical_formula_sum 'K2 Ta1 Ni1 S4'
_space_group_name_H-M_alt 'P 1'
_space_group_IT_number 1
_cell_length_a 6.535
_cell_length_b 6.535
_cell_length_c 6.535
_cell_angle_alpha 114.69
_cell_angle_beta 114.69
_cell_angle_gamma 99.48
loop_
_space_group_symop_operation_xyz
'x,y,z'
loop_
_atom_site_label
_atom_site_type_symbol
_atom_site_fract_x
_atom_site_fract_y
_atom_site_fract_z
K1 K 0.000 0.000 0.000
K2 K 0.750 0.250 0.500
Ta1 Ta 0.500 0.500 0.000
Ni1 Ni 0.250 0.750 0.500
S1 S 0.214 0.589 0.099
S2 S 0.411 0.509 0.624
S3 S 0.491 0.115 0.901
S4 S 0.885 0.786 0.376

# 11
# K2Ta2NiS6, relaxed, DFT PBE
# VASP energy = -6.04 eV/atom
data_K2Ta2NiS6
_chemical_formula_sum 'K2 Ta2 Ni1 S6'
_space_group_name_H-M_alt 'P 1'
_space_group_IT_number 1
_cell_length_a 6.130
_cell_length_b 6.130
_cell_length_c 7.831
_cell_angle_alpha 98.02
_cell_angle_beta 98.02
_cell_angle_gamma 119.40
loop_
_space_group_symop_operation_xyz
'x,y,z'
loop_
_atom_site_label
_atom_site_type_symbol
_atom_site_fract_x
_atom_site_fract_y
_atom_site_fract_z
K1 K 0.161 0.839 0.000
K2 K 0.839 0.161 0.000
Ta1 Ta 0.317 0.683 0.500
Ta2 Ta 0.683 0.317 0.500
Ni1 Ni 0.000 0.000 0.500
S1 S 0.079 0.402 0.692
S2 S 0.271 0.271 0.331
S3 S 0.402 0.079 0.692
S4 S 0.598 0.921 0.308
S5 S 0.729 0.729 0.669
S6 S 0.921 0.598 0.308

# 12
# KTcNiS3, relaxed, DFT PBE
# VASP energy = -5.58 eV/atom
data_KTcNiS3
_chemical_formula_sum 'K2 Tc2 Ni2 S6'
_space_group_name_H-M_alt 'P 1'
_space_group_IT_number 1
_cell_length_a 7.960
_cell_length_b 3.637
_cell_length_c 9.120
_cell_angle_alpha 90.00
_cell_angle_beta 114.51
_cell_angle_gamma 90.00
loop_
_space_group_symop_operation_xyz
'x,y,z'
loop_
_atom_site_label
_atom_site_type_symbol
_atom_site_fract_x
_atom_site_fract_y
_atom_site_fract_z
K1 K 0.246 0.250 0.257
K2 K 0.754 0.750 0.743
Tc1 Tc 0.299 0.750 0.826
Tc2 Tc 0.701 0.250 0.174
Ni1 Ni 0.084 0.250 0.606
Ni2 Ni 0.916 0.750 0.394
S1 S 0.118 0.250 0.857
S2 S 0.227 0.750 0.553
S3 S 0.477 0.750 0.126
S4 S 0.523 0.250 0.874
S5 S 0.773 0.250 0.447
S6 S 0.882 0.750 0.143

# 13
# KNiTeS3, relaxed, DFT PBE
# VASP energy = -4.11 eV/atom
data_KNiTeS3
_chemical_formula_sum 'K2 Ni2 Te2 S6'
_space_group_name_H-M_alt 'P 1'
_space_group_IT_number 1
_cell_length_a 9.055
_cell_length_b 3.819
_cell_length_c 9.146
_cell_angle_alpha 90.00
_cell_angle_beta 95.53
_cell_angle_gamma 90.00
loop_
_space_group_symop_operation_xyz
'x,y,z'
loop_
_atom_site_label
_atom_site_type_symbol
_atom_site_fract_x
_atom_site_fract_y
_atom_site_fract_z
K1 K 0.151 0.250 0.192
K2 K 0.849 0.750 0.808
Ni1 Ni 0.076 0.250 0.572
Ni2 Ni 0.924 0.750 0.428
Te1 Te 0.364 0.750 0.827
Te2 Te 0.636 0.250 0.173
S1 S 0.149 0.250 0.820
S2 S 0.163 0.750 0.492
S3 S 0.439 0.750 0.168
S4 S 0.561 0.250 0.832
S5 S 0.837 0.250 0.508
S6 S 0.851 0.750 0.180

# 14
# K2NiTeS4, relaxed, DFT PBE
# VASP energy = -3.84 eV/atom
data_K2NiTeS4
_chemical_formula_sum 'K4 Ni2 Te2 S8'
_space_group_name_H-M_alt 'P 1'
_space_group_IT_number 1
_cell_length_a 12.775
_cell_length_b 10.802
_cell_length_c 7.745
_cell_angle_alpha 85.38
_cell_angle_beta 57.44
_cell_angle_gamma 37.18
loop_
_space_group_symop_operation_xyz
'x,y,z'
loop_
_atom_site_label
_atom_site_type_symbol
_atom_site_fract_x
_atom_site_fract_y
_atom_site_fract_z
K1 K 0.062 0.062 0.688
K2 K 0.312 0.312 0.938
K3 K 0.688 0.688 0.062
K4 K 0.938 0.938 0.312
Ni1 Ni 0.375 0.375 0.375
Ni2 Ni 0.625 0.625 0.625
Te1 Te 0.125 0.125 0.125
Te2 Te 0.875 0.875 0.875
S1 S 0.020 0.379 0.442
S2 S 0.341 0.558 0.621
S3 S 0.379 0.020 0.659
S4 S 0.442 0.659 0.020
S5 S 0.558 0.341 0.980
S6 S 0.621 0.980 0.341
S7 S 0.659 0.442 0.379
S8 S 0.980 0.621 0.558

# 15
# KNi4TeS2, relaxed, DFT PBE
# VASP energy = -4.89 eV/atom
data_KNi4TeS2
_chemical_formula_sum 'K1 Ni4 Te1 S2'
_space_group_name_H-M_alt 'P 1'
_space_group_IT_number 1
_cell_length_a 3.917
_cell_length_b 3.917
_cell_length_c 9.334
_cell_angle_alpha 90.00
_cell_angle_beta 90.00
_cell_angle_gamma 90.00
loop_
_space_group_symop_operation_xyz
'x,y,z'
loop_
_atom_site_label
_atom_site_type_symbol
_atom_site_fract_x
_atom_site_fract_y
_atom_site_fract_z
K1 K 0.000 0.000 0.000
Ni1 Ni 0.000 0.500 0.321
Ni2 Ni 0.000 0.500 0.679
Ni3 Ni 0.500 0.000 0.321
Ni4 Ni 0.500 0.000 0.679
Te1 Te 0.000 0.000 0.500
S1 S 0.500 0.500 0.211
S2 S 0.500 0.500 0.789

# 16
# KThNiS3, relaxed, DFT PBE
# VASP energy = -5.84 eV/atom
data_KThNiS3
_chemical_formula_sum 'K2 Th2 Ni2 S6'
_space_group_name_H-M_alt 'P 1'
_space_group_IT_number 1
_cell_length_a 8.917
_cell_length_b 4.029
_cell_length_c 9.127
_cell_angle_alpha 90.00
_cell_angle_beta 107.01
_cell_angle_gamma 90.00
loop_
_space_group_symop_operation_xyz
'x,y,z'
loop_
_atom_site_label
_atom_site_type_symbol
_atom_site_fract_x
_atom_site_fract_y
_atom_site_fract_z
K1 K 0.194 0.250 0.234
K2 K 0.806 0.750 0.766
Th1 Th 0.314 0.750 0.828
Th2 Th 0.686 0.250 0.172
Ni1 Ni 0.086 0.250 0.576
Ni2 Ni 0.914 0.750 0.424
S1 S 0.114 0.250 0.850
S2 S 0.178 0.750 0.516
S3 S 0.458 0.750 0.157
S4 S 0.542 0.250 0.843
S5 S 0.822 0.250 0.484
S6 S 0.886 0.750 0.150

# 17
# K4Th3NiS8, relaxed, DFT PBE
# VASP energy = -5.55 eV/atom
data_K4Th3NiS8
_chemical_formula_sum 'K4 Th3 Ni1 S8'
_space_group_name_H-M_alt 'P 1'
_space_group_IT_number 1
_cell_length_a 8.360
_cell_length_b 8.360
_cell_length_c 8.803
_cell_angle_alpha 118.21
_cell_angle_beta 118.21
_cell_angle_gamma 56.65
loop_
_space_group_symop_operation_xyz
'x,y,z'
loop_
_atom_site_label
_atom_site_type_symbol
_atom_site_fract_x
_atom_site_fract_y
_atom_site_fract_z
K1 K 0.000 0.000 0.000
K2 K 0.000 0.500 0.000
K3 K 0.500 0.000 0.000
K4 K 0.500 0.500 0.000
Th1 Th 0.000 0.000 0.500
Th2 Th 0.000 0.500 0.500
Th3 Th 0.500 0.000 0.500
Ni1 Ni 0.500 0.500 0.500
S1 S 0.230 0.230 0.711
S2 S 0.238 0.238 0.270
S3 S 0.248 0.708 0.683
S4 S 0.292 0.752 0.317
S5 S 0.708 0.248 0.683
S6 S 0.752 0.292 0.317
S7 S 0.762 0.762 0.730
S8 S 0.770 0.770 0.289

# 18
# K3Th3NiS8, relaxed, DFT PBE
# VASP energy = -5.78 eV/atom
data_K3Th3NiS8
_chemical_formula_sum 'K3 Th3 Ni1 S8'
_space_group_name_H-M_alt 'P 1'
_space_group_IT_number 1
_cell_length_a 8.118
_cell_length_b 8.118
_cell_length_c 8.692
_cell_angle_alpha 116.38
_cell_angle_beta 116.38
_cell_angle_gamma 62.40
loop_
_space_group_symop_operation_xyz
'x,y,z'
loop_
_atom_site_label
_atom_site_type_symbol
_atom_site_fract_x
_atom_site_fract_y
_atom_site_fract_z
K1 K 0.000 0.000 0.000
K2 K 0.000 0.500 0.000
K3 K 0.500 0.000 0.000
Th1 Th 0.000 0.500 0.500
Th2 Th 0.500 0.000 0.500
Th3 Th 0.500 0.500 0.500
Ni1 Ni 0.000 0.000 0.500
S1 S 0.199 0.199 0.665
S2 S 0.249 0.710 0.707
S3 S 0.261 0.261 0.287
S4 S 0.290 0.751 0.293
S5 S 0.710 0.249 0.707
S6 S 0.739 0.739 0.713
S7 S 0.751 0.290 0.293
S8 S 0.801 0.801 0.335

# 19
# KTiNiS4, relaxed, DFT PBE
# VASP energy = -5.24 eV/atom
data_KTiNiS4
_chemical_formula_sum 'K2 Ti2 Ni2 S8'
_space_group_name_H-M_alt 'P 1'
_space_group_IT_number 1
_cell_length_a 6.185
_cell_length_b 5.464
_cell_length_c 8.978
_cell_angle_alpha 90.00
_cell_angle_beta 109.05
_cell_angle_gamma 90.00
loop_
_space_group_symop_operation_xyz
'x,y,z'
loop_
_atom_site_label
_atom_site_type_symbol
_atom_site_fract_x
_atom_site_fract_y
_atom_site_fract_z
K1 K 0.239 0.250 0.047
K2 K 0.761 0.750 0.953
Ti1 Ti 0.268 0.250 0.560
Ti2 Ti 0.732 0.750 0.440
Ni1 Ni 0.254 0.750 0.329
Ni2 Ni 0.746 0.250 0.671
S1 S 0.013 0.506 0.675
S2 S 0.013 0.994 0.675
S3 S 0.446 0.750 0.580
S4 S 0.463 0.750 0.177
S5 S 0.537 0.250 0.823
S6 S 0.554 0.250 0.420
S7 S 0.987 0.006 0.325
S8 S 0.987 0.494 0.325

# 20
# K2TiNi2S4, relaxed, DFT PBE
# VASP energy = -5.21 eV/atom
data_K2TiNi2S4
_chemical_formula_sum 'K2 Ti1 Ni2 S4'
_space_group_name_H-M_alt 'P 1'
_space_group_IT_number 1
_cell_length_a 6.956
_cell_length_b 6.956
_cell_length_c 7.486
_cell_angle_alpha 107.03
_cell_angle_beta 107.03
_cell_angle_gamma 30.15
loop_
_space_group_symop_operation_xyz
'x,y,z'
loop_
_atom_site_label
_atom_site_type_symbol
_atom_site_fract_x
_atom_site_fract_y
_atom_site_fract_z
K1 K 0.133 0.133 0.058
K2 K 0.867 0.867 0.942
Ti1 Ti 0.000 0.000 0.500
Ni1 Ni 0.321 0.321 0.511
Ni2 Ni 0.679 0.679 0.489
S1 S 0.195 0.195 0.667
S2 S 0.483 0.483 0.719
S3 S 0.517 0.517 0.281
S4 S 0.805 0.805 0.333

One value per record, in order, for volume: 22.41; 22.73; 26.38; 27.14; 21.79; 20.90; 22.71; 27.00; 19.23; 26.26; 22.40; 20.02; 26.23; 24.82; 17.90; 26.13; 27.10; 28.92; 20.49; 19.26 Å³/atom.